LaPmO3 | PBE | optimized geometry

Computed properties:
Total magnetic moment (μB per cell): 0.0
Raw formation energy (meV/atom): -3274

Cell lengths 6.6493, 6.6493, 6.6493 Å; angles 52.87, 52.87, 52.87 degrees
Closest atoms and distances in Å follow each position.
Sites, in units of the cell vectors:
La: 0.1431 0.1431 0.1431  6 O 2.39-2.52
La: 0.8569 0.8569 0.8569  6 O 2.39-2.52
Pm: 0.3526 0.3526 0.3526  6 O 2.33-2.45
Pm: 0.6474 0.6474 0.6474  6 O 2.33-2.45
O: 0.0452 0.4637 0.7387  2 Pm 2.33-2.45, 2 La 2.39-2.52
O: 0.2613 0.5363 0.9548  2 Pm 2.33-2.45, 2 La 2.39-2.52
O: 0.4637 0.7387 0.0452  2 Pm 2.33-2.45, 2 La 2.39-2.52
O: 0.5363 0.9548 0.2613  2 Pm 2.33-2.45, 2 La 2.39-2.52
O: 0.7387 0.0452 0.4637  2 Pm 2.33-2.45, 2 La 2.39-2.52
O: 0.9548 0.2613 0.5363  2 Pm 2.33-2.45, 2 La 2.39-2.52

Ce2ZrOs | PBE | optimized geometry

Computed properties:
Total magnetic moment (μB per cell): 0.0
Energy of formation from the pure elements (eV per atom): 0.30

Cell lengths 11.0694, 11.0694, 11.0694 Å; angles 15.87, 15.87, 15.87 degrees
Closest atoms and distances in Å follow each position.
Sites, in units of the cell vectors:
Ce: 0.0951 0.0951 0.0951  3 Os 2.94, 6 Ce 3.06, 1 Zr 3.12
Ce: 0.9049 0.9049 0.9049  3 Os 2.94, 6 Ce 3.06, 1 Zr 3.12
Zr: 0.0000 0.0000 0.0000  6 Zr 3.06, 2 Ce 3.12
Os: 0.5000 0.5000 0.5000  6 Ce 2.94, 6 Os 3.06